Record 1
Material: Sr2TlP
Method: DFT, GGA-PBE
State: relaxed

The structure in CIF format:
```
data_Sr2TlP
_chemical_formula_sum 'Sr2 Tl1 P1'
_space_group_name_H-M_alt 'P 1'
_space_group_IT_number 1
_cell_length_a 4.791
_cell_length_b 4.395
_cell_length_c 6.366
_cell_angle_alpha 90.00
_cell_angle_beta 112.08
_cell_angle_gamma 90.00
loop_
_space_group_symop_operation_xyz
'x,y,z'
loop_
_atom_site_label
_atom_site_type_symbol
_atom_site_fract_x
_atom_site_fract_y
_atom_site_fract_z
Sr1 Sr 0.000 0.000 0.000
Sr2 Sr 0.278 0.500 0.558
Tl1 Tl 0.710 0.000 0.422
P1 P 0.550 0.500 0.097
```

ΔE to the lowest computed polymorph = 45 meV per atom
Raw total energy = -3.39 eV/atom
Space group = No. 6
Calculated formation energy = -14.0 kcal/mol of atoms

=====

Record 2
Material: Cs2MgPb
Method: DFT, GGA-PBE
State: relaxed

The structure in CIF format:
```
data_Cs2MgPb
_chemical_formula_sum 'Cs2 Mg1 Pb1'
_space_group_name_H-M_alt 'P 1'
_space_group_IT_number 1
_cell_length_a 6.652
_cell_length_b 6.652
_cell_length_c 6.652
_cell_angle_alpha 60.00
_cell_angle_beta 60.00
_cell_angle_gamma 60.00
loop_
_space_group_symop_operation_xyz
'x,y,z'
loop_
_atom_site_label
_atom_site_type_symbol
_atom_site_fract_x
_atom_site_fract_y
_atom_site_fract_z
Cs1 Cs 0.250 0.250 0.250
Cs2 Cs 0.750 0.750 0.750
Mg1 Mg 0.000 0.000 0.000
Pb1 Pb 0.500 0.500 0.500
```

Raw total energy = -1.52 eV/atom
Space group = No. 225
Calculated formation energy = 5.4 kcal/mol of atoms

=====

Record 3
Material: HfZr2W
Method: DFT, GGA-PBE
State: relaxed

The structure in CIF format:
```
data_HfZr2W
_chemical_formula_sum 'Hf1 Zr2 W1'
_space_group_name_H-M_alt 'P 1'
_space_group_IT_number 1
_cell_length_a 4.872
_cell_length_b 4.872
_cell_length_c 4.872
_cell_angle_alpha 60.00
_cell_angle_beta 60.00
_cell_angle_gamma 60.00
loop_
_space_group_symop_operation_xyz
'x,y,z'
loop_
_atom_site_label
_atom_site_type_symbol
_atom_site_fract_x
_atom_site_fract_y
_atom_site_fract_z
Hf1 Hf 0.000 0.000 0.000
Zr1 Zr 0.250 0.250 0.250
Zr2 Zr 0.750 0.750 0.750
W1 W 0.500 0.500 0.500
```

ΔE to the lowest computed polymorph = 0 meV per atom
Raw total energy = -9.81 eV/atom
Space group = No. 225
Calculated formation energy = 4.3 kcal/mol of atoms